GaF | the Alexandria database | PBE | relaxed; DOS at the Fermi energy = 0.35 states/eV/f.u.; energy relative to the elements, uncorrected = -1.49 eV/atom; symmetry = No. 38; crystal system = orthorhombic; M_tot = 0.00 μB per formula unit; final energy = -7.872 eV/cell
1.0
4.011 0.000 0.000
0.000 2.463 1.419
0.000 -2.463 1.419
Ga F
1 1
Cartesian
0.000 0.000 0.000
2.006 0.000 0.017